1.
A geometry-optimized CsICl structure. Source: the Alexandria database, functional PBE.

POSCAR file:
```
CsICl
1.0
5.1396 0.0000 0.0061
0.0000 4.9619 0.0000
-2.0674 0.0000 5.5613
Cl Cs I
1 1 1
Direct
0.5000 0.0000 0.0000
0.0000 0.5000 0.0000
0.5000 0.0000 0.5000
```

SG = P2/m, No. 10
Energy = -2.61 eV/atom
Relative energy among the computed polymorphs = 128 meV per atom
Formation energy from raw total energies = -3.589 eV per formula unit

=====

2.
A geometry-optimized CsI2Cl2 structure. Source: the Alexandria database, functional PBE.

POSCAR file:
```
CsI2Cl2
1.0
-4.9993 8.4151 0.4156
-8.2331 -4.7766 -2.3193
-0.7257 -0.6216 3.8563
Cs I Cl
2 4 4
Direct
0.0000 0.0000 0.0000
0.5000 0.5000 0.0000
0.9024 0.5976 0.0000
0.0976 0.4024 0.0000
0.5976 0.0976 0.0000
0.4024 0.9024 0.0000
0.7723 0.2723 0.5000
0.2723 0.2277 0.5000
0.2277 0.7277 0.5000
0.7277 0.7723 0.5000
```

SG = P4/mbm, No. 127
Energy = -2.15 eV/atom
Relative energy among the computed polymorphs = 22 meV per atom
Formation energy from raw total energies = -3.080 eV per formula unit

=====

3.
A geometry-optimized Cs4I2Cl structure. Source: the Alexandria database, functional PBE.

POSCAR file:
```
Cs4I2Cl
1.0
5.2787 0.0000 0.7532
2.5856 4.6021 0.7532
0.0719 0.0421 18.3695
I Cl Cs
2 1 4
Direct
0.7455 0.7455 0.7634
0.2545 0.2545 0.2366
0.0000 0.0000 0.0000
0.1230 0.1230 0.6310
0.3684 0.3684 0.8948
0.8770 0.8770 0.3690
0.6316 0.6316 0.1052
```

SG = R-3m, No. 166
Energy = -2.62 eV/atom
Relative energy among the computed polymorphs = 0 meV per atom
Formation energy from raw total energies = -9.956 eV per formula unit

=====

4.
A geometry-optimized Cs12I5Cl3 structure. Source: the Alexandria database, functional PBE.

POSCAR file:
```
Cs12I5Cl3
1.0
19.4576 0.0000 0.0000
-6.4859 18.3448 0.0000
-6.4859 -9.1724 15.8870
Cs I Cl
48 20 12
Direct
0.6714 0.2362 0.6126
0.3764 0.4412 0.1126
0.9412 0.8286 0.5648
0.7362 0.1236 0.0648
0.5648 0.2362 0.1236
0.9352 0.5588 0.1714
0.4352 0.6714 0.0588
0.5588 0.9352 0.6714
0.3286 0.7638 0.3874
0.6714 0.4352 0.5588
0.6236 0.0648 0.2362
0.7638 0.3286 0.8874
0.0588 0.1714 0.4352
0.9412 0.1126 0.8764
0.6126 0.8764 0.4412
0.1236 0.3874 0.0588
0.9352 0.3764 0.2638
0.2638 0.3874 0.8286
0.2362 0.5648 0.6236
0.5648 0.3286 0.9412
0.8286 0.9412 0.0648
0.1126 0.1714 0.2362
0.1236 0.7362 0.5648
0.1714 0.1126 0.7362
0.4352 0.7638 0.8764
0.7362 0.6126 0.1714
0.8286 0.8874 0.2638
0.0648 0.6236 0.7362
0.0648 0.4412 0.8286
0.8874 0.8286 0.7638
0.8874 0.0588 0.6236
0.6126 0.7362 0.6714
0.3286 0.5648 0.4412
0.3874 0.1236 0.5588
0.0588 0.8874 0.1236
0.6236 0.5588 0.8874
0.4412 0.3764 0.6126
0.4412 0.0648 0.3286
0.1126 0.9412 0.3764
0.7638 0.4352 0.3764
0.8764 0.6126 0.9412
0.3764 0.9352 0.7638
0.2638 0.8764 0.9352
0.8764 0.2638 0.4352
0.2362 0.6714 0.1126
0.1714 0.0588 0.9352
0.3874 0.2638 0.3286
0.5588 0.6236 0.3874
0.7500 0.6250 0.3750
0.0000 0.0000 0.5000
0.5000 0.0000 0.0000
0.0000 0.0000 0.0000
0.0000 0.5000 0.0000
0.5000 0.5000 0.0000
0.6250 0.7500 0.8750
0.6250 0.8750 0.2500
0.3750 0.2500 0.1250
0.2500 0.8750 0.1250
0.1250 0.3750 0.2500
0.1250 0.7500 0.3750
0.5000 0.0000 0.5000
0.3750 0.1250 0.7500
0.0000 0.5000 0.5000
0.2500 0.3750 0.6250
0.7500 0.1250 0.8750
0.5000 0.5000 0.5000
0.8750 0.2500 0.6250
0.8750 0.6250 0.7500
0.2500 0.6250 0.8750
0.3750 0.7500 0.6250
0.8750 0.7500 0.1250
0.1250 0.8750 0.7500
0.7500 0.3750 0.1250
0.6250 0.2500 0.3750
0.2500 0.1250 0.3750
0.7500 0.8750 0.6250
0.6250 0.3750 0.7500
0.8750 0.1250 0.2500
0.1250 0.2500 0.8750
0.3750 0.6250 0.2500
```

SG = Ia-3d, No. 230
Energy = -2.34 eV/atom
Formation energy from raw total energies = -23.360 eV per formula unit

=====

5.
A geometry-optimized CsI2Cl2 structure. Source: the Alexandria database, functional PBE.

POSCAR file:
```
CsI2Cl2
1.0
-5.5346 1.9041 -1.5867
-2.4642 -3.8089 4.0243
-3.7434 3.1871 5.2935
Cl I Cs
2 2 1
Direct
0.2500 0.7500 0.5000
0.7500 0.2500 0.5000
0.6153 0.6153 0.7694
0.3847 0.3847 0.2306
0.0000 0.0000 0.0000
```

SG = I4/mmm, No. 139
Energy = -2.03 eV/atom
Relative energy among the computed polymorphs = 134 meV per atom
Formation energy from raw total energies = -2.518 eV per formula unit

=====

6.
A geometry-optimized Cs6I2Cl3 structure. Source: the Alexandria database, functional PBE.

POSCAR file:
```
Cs6I2Cl3
1.0
8.6757 0.0000 2.5854
4.3378 7.8399 1.2927
0.4097 0.0000 9.1986
Cs I Cl
6 2 3
Direct
0.9216 0.6704 0.2246
0.0784 0.3296 0.7754
0.5920 0.3296 0.2246
0.4080 0.6704 0.7754
0.2622 0.0000 0.2247
0.7378 0.0000 0.7753
0.1665 0.6669 0.5000
0.8335 0.3331 0.5000
0.0000 0.0000 0.0000
0.6673 0.6654 0.0000
0.3327 0.3346 0.0000
```

SG = C2/m, No. 12
Energy = -2.85 eV/atom
Formation energy from raw total energies = -17.604 eV per formula unit

=====

7.
A geometry-optimized Cs2I3Cl6 structure. Source: the Alexandria database, functional PBE.

POSCAR file:
```
Cs2I3Cl6
1.0
10.1715 0.0000 2.8375
4.8336 5.6153 2.3226
0.3909 -0.8385 18.2482
Cl I Cs
12 6 4
Direct
0.2561 0.4804 0.0870
0.1764 0.9804 0.5870
0.1630 0.3590 0.3796
0.7439 0.5196 0.9130
0.9016 0.1410 0.1204
0.4359 0.7216 0.3955
0.8370 0.6410 0.6204
0.4470 0.2216 0.8955
0.5641 0.2784 0.6045
0.8236 0.0196 0.4130
0.0984 0.8590 0.8796
0.5530 0.7784 0.1045
0.4959 0.7500 0.2500
0.5041 0.2500 0.7500
0.8646 0.0769 0.2665
0.2079 0.4231 0.2335
0.1354 0.9231 0.7335
0.7921 0.5769 0.7665
0.2113 0.5408 0.5160
0.7887 0.4592 0.4840
0.2681 0.9592 0.9840
0.7319 0.0408 0.0160
```

SG = C2/c, No. 15
Energy = -2.43 eV/atom
Formation energy from raw total energies = -9.307 eV per formula unit

=====

8.
A geometry-optimized Cs4ICl2 structure. Source: the Alexandria database, functional PBE.

POSCAR file:
```
Cs4ICl2
1.0
-3.1579 1.0519 6.3858
-4.3621 -5.5949 -1.2356
2.3141 -7.8744 6.5018
I Cl Cs
1 2 4
Direct
0.0000 0.0000 0.0000
0.3956 0.3956 0.2088
0.6044 0.6044 0.7912
0.2216 0.2216 0.5568
0.5000 0.0000 0.0000
0.0000 0.5000 0.0000
0.7784 0.7784 0.4432
```

SG = I4/mmm, No. 139
Energy = -2.60 eV/atom
Relative energy among the computed polymorphs = 179 meV per atom
Formation energy from raw total energies = -9.524 eV per formula unit

=====

9.
A geometry-optimized Cs5ICl8 structure. Source: the Alexandria database, functional PBE.

POSCAR file:
```
Cs5ICl8
1.0
8.4516 0.1401 -3.4973
-4.7147 7.5380 -2.1516
0.0876 -0.1401 9.1462
I Cl Cs
1 8 5
Direct
0.5000 0.7500 0.2500
0.7183 0.9848 0.2106
0.2817 0.4923 0.2666
0.1933 0.2981 0.7176
0.2257 0.7334 0.0152
0.8067 0.5243 0.1049
0.7743 0.7894 0.5077
0.4194 0.8951 0.7019
0.5806 0.2824 0.4757
0.8445 0.2365 0.8149
0.1555 0.9704 0.3920
0.0000 0.5000 0.5000
0.4216 0.1851 0.0296
0.5784 0.6080 0.7635
```

SG = I-4, No. 82
Energy = -2.93 eV/atom
Formation energy from raw total energies = -20.365 eV per formula unit

=====

10.
A geometry-optimized CsICl structure. Source: the Alexandria database, functional PBE.

POSCAR file:
```
CsICl
1.0
4.9567 0.0000 0.0000
0.0000 4.9567 0.0000
-2.4784 -2.4784 6.2760
Cs I Cl
1 1 1
Direct
0.9826 0.9826 0.9651
0.3176 0.3176 0.6352
0.5498 0.5498 0.0997
```

SG = I4mm, No. 107
Energy = -2.46 eV/atom
Relative energy among the computed polymorphs = 283 meV per atom
Formation energy from raw total energies = -3.125 eV per formula unit

=====

11.
A geometry-optimized CsICl structure. Source: the Alexandria database, functional PBE.

POSCAR file:
```
CsICl
1.0
-2.3919 -4.3271 -0.6173
5.2264 -5.2665 -3.2999
4.8571 -3.5819 6.1926
I Cl Cs
2 2 2
Direct
0.0765 0.7843 0.8767
0.9762 0.9867 0.5245
0.9028 0.1352 0.1977
0.2204 0.4927 0.4975
0.5846 0.7677 0.2607
0.7817 0.3677 0.7723
```

SG = P1, No. 1
Energy = -2.65 eV/atom
Relative energy among the computed polymorphs = 90 meV per atom
Formation energy from raw total energies = -3.702 eV per formula unit

=====

12.
A geometry-optimized Cs2ICl4 structure. Source: the Alexandria database, functional PBE.

POSCAR file:
```
Cs2ICl4
1.0
-0.2342 -1.3460 7.5538
7.3254 0.1730 2.2883
-3.9583 5.8428 -3.9972
Cl I Cs
4 1 2
Direct
0.7626 0.7625 0.5252
0.2528 0.2530 0.0000
0.2375 0.2374 0.4748
0.7470 0.7472 0.0000
0.0000 0.0000 0.0000
0.2499 0.7501 0.5000
0.7499 0.2501 0.5000
```

SG = Fmmm, No. 69
Energy = -2.71 eV/atom
Relative energy among the computed polymorphs = 0 meV per atom
Formation energy from raw total energies = -8.300 eV per formula unit

=====

Question: The highest formation energy from raw total energies belongs to which entry?
Answer: number 5

=====

Repeat the fifth record exactly.
A geometry-optimized CsI2Cl2 structure. Source: the Alexandria database, functional PBE.

POSCAR file:
```
CsI2Cl2
1.0
-5.5346 1.9041 -1.5867
-2.4642 -3.8089 4.0243
-3.7434 3.1871 5.2935
Cl I Cs
2 2 1
Direct
0.2500 0.7500 0.5000
0.7500 0.2500 0.5000
0.6153 0.6153 0.7694
0.3847 0.3847 0.2306
0.0000 0.0000 0.0000
```

SG = I4/mmm, No. 139
Energy = -2.03 eV/atom
Relative energy among the computed polymorphs = 134 meV per atom
Formation energy from raw total energies = -2.518 eV per formula unit

=====

Question: Which formula does entry 11 have?
Answer: CsICl